PaIn2Pd8 | PBE | optimized geometry

The space group is P-1 (No. 2) and the conventional cell measures 5.3357, 5.3538 and 7.0172 Å, with angles of 99.46, 98.37 and 95.64 degrees. The inequivalent atoms are Pa at (0.0000, 0.0000, 0.0000), In at (0.3616, 0.3186, 0.6596), Pd at (0.0498, 0.3505, 0.3199), Pd at (0.1748, 0.8701, 0.3912), Pd at (0.2576, 0.5554, 0.0261) and Pd at (0.4897, 0.8653, 0.8013).

As for the excess energy over the best structure of this formula in the dataset: 3.2 kJ/mol of atoms. The total energy is -5.683 eV per atom. The calculation puts the formation energy at -0.55 eV per atom.

BaRu3 | PBE | optimized geometry

The space group is Cmmm (No. 65) and the conventional cell measures 6.0478, 8.3202 and 2.9170 Å, with angles of 90.00, 90.00 and 90.00 degrees. The inequivalent atoms are Ba at (0.0000, 0.0000, 0.0000), Ru at (0.0000, 0.5000, 0.0000) and Ru at (0.2500, 0.2500, 0.5000).

The total energy is -6.226 eV per atom. The calculation puts the formation energy at 1.21 eV per atom.